The following is a PBE calculation of a relaxed structure of Ce8Th3Sn, from Alexandria via LeMat-Bulk.

Electronic total energy (eV/atom): -5.769
E_form (meV/atom): 375
ρ (g/cm3): 8.31
Magnetic moment (μB per atom): 0.000
Fermi-level density of states (states/eV per atom): 2.838
Crystal system: tetragonal

Unit cell a=8.5451 b=8.5451 c=10.5987 alpha=90.00 beta=90.00 gamma=90.00
Last column: nearest neighbours and their distance in Å.
Space group I-42m (No. 121)
One atom of each set of equivalent atoms:
Ce 0.1399 0.1399 0.2562 x8  1 Ce 2.63
Ce 0.2498 0.2498 0.4702 x8  1 Ce 2.63
Th 0.0000 0.0000 0.5000 x2  8 Ce 3.03-3.09
Th 0.0000 0.5000 0.2500 x4  4 Ce 3.30
Sn 0.0000 0.0000 0.0000 x2  8 Ce 3.04-3.20